Record 1
Density functional theory data (PBE-GGA) for CdCoTe2I after structural relaxation.

Properties
Crystal system = tetragonal
Theoretical density = 6.5 g cm⁻³
Space-group type = P4/mmm (123)
VASP energy = -14.32 eV for the cell shown

abc: 5.0371 5.0371 5.5617
angles: 90.00 90.00 90.00
With the nearest neighbours (Å) after each atom.
Fractional coordinates of all 5 atoms:
Cd1 0.0000 0.0000 0.0000  4 I 3.56, 8 Te 3.75
Co1 0.5000 0.5000 0.5000  4 Te 2.52, 2 I 2.78
Te1 0.0000 0.5000 0.5000  2 Co 2.52
Te2 0.5000 0.0000 0.5000  2 Co 2.52
I1 0.5000 0.5000 0.0000  2 Co 2.78


Record 2
Density functional theory data (PBE-GGA) for CdCoTe2I after structural relaxation.

Properties
Crystal system = tetragonal
Theoretical density = 5.0 g cm⁻³
Space-group type = P4/mmm (123)
VASP energy = -10.79 eV for the cell shown

abc: 5.5897 5.5897 5.8848
angles: 90.00 90.00 90.00
With the nearest neighbours (Å) after each atom.
Fractional coordinates of all 5 atoms:
Cd1 0.0000 0.0000 0.0000  4 Te 2.79, 2 I 2.94
Co1 0.5000 0.5000 0.5000  4 I 3.95, 8 Te 4.06
Te1 0.0000 0.5000 0.0000  2 Cd 2.79
Te2 0.5000 0.0000 0.0000  2 Cd 2.79
I1 0.0000 0.0000 0.5000  2 Cd 2.94


Record 3
Density functional theory data (PBE-GGA) for CdIn2Co after structural relaxation.

Properties
Crystal system = tetragonal
Theoretical density = 8.7 g cm⁻³
Space-group type = I-4m2 (119)
VASP energy = -24.68 eV for the cell shown
Calculated formation energy = 0.29 eV/atom

abc: 4.1729 4.1729 8.7506
angles: 90.00 90.00 90.00
With the nearest neighbours (Å) after each atom.
Fractional coordinates of all 8 atoms:
Cd1 0.0000 0.0000 0.0000  8 In 2.95-3.02, 4 Co 3.02
Cd2 0.5000 0.5000 0.5000  8 In 2.95-3.02, 4 Co 3.02
In1 0.0000 0.0000 0.5000  4 Cd 2.95, 4 In 3.02, 4 Co 3.02
In2 0.0000 0.5000 0.2500  4 Co 2.95, 4 Cd 3.02, 4 In 3.02
In3 0.5000 0.0000 0.7500  4 Co 2.95, 4 Cd 3.02, 4 In 3.02
In4 0.5000 0.5000 0.0000  4 Cd 2.95, 4 In 3.02, 4 Co 3.02
Co1 0.0000 0.5000 0.7500  8 In 2.95-3.02, 4 Cd 3.02
Co2 0.5000 0.0000 0.2500  8 In 2.95-3.02, 4 Cd 3.02


Record 4
Density functional theory data (PBE-GGA) for CdInCo2 after structural relaxation.

Properties
Crystal system = monoclinic
Theoretical density = 8.8 g cm⁻³
Space-group type = C2/m (12)
VASP energy = -32.50 eV for the cell shown
Calculated formation energy = 0.40 eV/atom

abc: 8.7265 2.9688 5.1286
angles: 90.00 102.56 90.00
With the nearest neighbours (Å) after each atom.
Fractional coordinates of all 8 atoms:
Cd1 0.0000 0.0000 0.0000  6 Co 2.79-2.86, 4 In 2.96, 2 Cd 2.97
Cd2 0.5000 0.5000 0.0000  6 Co 2.79-2.86, 4 In 2.96, 2 Cd 2.97
In1 0.0000 0.5000 0.5000  6 Co 2.66, 4 Cd 2.96, 2 In 2.97
In2 0.5000 0.0000 0.5000  6 Co 2.66, 4 Cd 2.96, 2 In 2.97
Co1 0.2482 0.0000 0.7149  3 In 2.66, 4 Co 2.66-2.97, 3 Cd 2.79-2.86
Co2 0.2518 0.5000 0.2851  3 In 2.66, 4 Co 2.66-2.97, 3 Cd 2.79-2.86
Co3 0.7482 0.5000 0.7149  3 In 2.66, 4 Co 2.66-2.97, 3 Cd 2.79-2.86
Co4 0.7518 0.0000 0.2851  3 In 2.66, 4 Co 2.66-2.97, 3 Cd 2.79-2.86


Record 5
Density functional theory data (PBE-GGA) for Cd2InCo after structural relaxation.

Properties
Crystal system = monoclinic
Theoretical density = 8.6 g cm⁻³
Space-group type = Pm (6)
VASP energy = -10.97 eV for the cell shown
Calculated formation energy = 0.18 eV/atom

abc: 3.0540 3.1005 8.1175
angles: 90.00 90.29 90.00
With the nearest neighbours (Å) after each atom.
Fractional coordinates of all 4 atoms:
Cd1 0.0000 0.0000 0.0000  8 Cd 3.05-3.21, 4 In 3.32-3.35
Cd2 0.4978 0.5000 0.7090  4 Co 2.76, 2 Cd 3.05
In1 0.4926 0.5000 0.3116  4 Co 2.66
Co1 0.9950 0.0000 0.5003  4 In 2.66, 4 Cd 2.76


Record 6
Density functional theory data (PBE-GGA) for Cd2InCo after structural relaxation.

Properties
Crystal system = tetragonal
Theoretical density = 7.9 g cm⁻³
Space-group type = I-42d (122)
VASP energy = -39.97 eV for the cell shown
Calculated formation energy = 0.42 eV/atom

abc: 4.0849 4.0849 20.0212
angles: 90.00 90.00 90.00
With the nearest neighbours (Å) after each atom.
Fractional coordinates of all 16 atoms:
Cd1 0.2308 0.2500 0.1250  4 Cd 2.78-3.00, 2 Co 2.86, 2 In 2.92
Cd2 0.2500 0.7308 0.3750  4 Cd 2.78-3.00, 2 Co 2.86, 2 In 2.92
Cd3 0.2500 0.7692 0.8750  4 Cd 2.78-3.00, 2 Co 2.86, 2 In 2.92
Cd4 0.2692 0.2500 0.6250  4 Cd 2.78-3.00, 2 Co 2.86, 2 In 2.92
Cd5 0.7308 0.7500 0.6250  4 Cd 2.78-3.00, 2 Co 2.86, 2 In 2.92
Cd6 0.7500 0.2308 0.8750  4 Cd 2.78-3.00, 2 Co 2.86, 2 In 2.92
Cd7 0.7500 0.2692 0.3750  4 Cd 2.78-3.00, 2 Co 2.86, 2 In 2.92
Cd8 0.7692 0.7500 0.1250  4 Cd 2.78-3.00, 2 Co 2.86, 2 In 2.92
In1 0.0000 0.0000 0.5000  4 Co 2.89, 4 Cd 2.92
In2 0.0000 0.5000 0.7500  4 Co 2.89, 4 Cd 2.92
In3 0.5000 0.0000 0.2500  4 Co 2.89, 4 Cd 2.92
In4 0.5000 0.5000 0.0000  4 Co 2.89, 4 Cd 2.92
Co1 0.0000 0.0000 0.0000  4 Cd 2.86, 4 In 2.89
Co2 0.0000 0.5000 0.2500  4 Cd 2.86, 4 In 2.89
Co3 0.5000 0.0000 0.7500  4 Cd 2.86, 4 In 2.89
Co4 0.5000 0.5000 0.5000  4 Cd 2.86, 4 In 2.89


Record 7
Density functional theory data (PBE-GGA) for Cd2InCo after structural relaxation.

Properties
Crystal system = tetragonal
Theoretical density = 9.0 g cm⁻³
Space-group type = I-4m2 (119)
VASP energy = -21.28 eV for the cell shown
Calculated formation energy = 0.26 eV/atom

abc: 4.1766 4.1766 8.4781
angles: 90.00 90.00 90.00
With the nearest neighbours (Å) after each atom.
Fractional coordinates of all 8 atoms:
Cd1 0.0000 0.0000 0.0000  4 In 2.95, 4 Cd 2.98, 4 Co 2.98
Cd2 0.0000 0.5000 0.2500  4 Co 2.95, 4 Cd 2.98, 4 In 2.98
Cd3 0.5000 0.0000 0.7500  4 Co 2.95, 4 Cd 2.98, 4 In 2.98
Cd4 0.5000 0.5000 0.5000  4 In 2.95, 4 Cd 2.98, 4 Co 2.98
In1 0.0000 0.0000 0.5000  8 Cd 2.95-2.98, 4 Co 2.98
In2 0.5000 0.5000 0.0000  8 Cd 2.95-2.98, 4 Co 2.98
Co1 0.0000 0.5000 0.7500  8 Cd 2.95-2.98, 4 In 2.98
Co2 0.5000 0.0000 0.2500  8 Cd 2.95-2.98, 4 In 2.98


Record 8
Density functional theory data (PBE-GGA) for CdInCo2 after structural relaxation.

Properties
Crystal system = trigonal
Theoretical density = 8.4 g cm⁻³
Space-group type = R3m (160)
VASP energy = -48.95 eV for the cell shown
Calculated formation energy = 0.39 eV/atom

abc: 2.9852 2.9852 26.5375
angles: 90.00 90.00 120.00
With the nearest neighbours (Å) after each atom.
Fractional coordinates of all 12 atoms:
Cd1 0.0000 0.0000 0.0000  3 Co 2.82, 6 Cd 2.99
Cd2 0.3333 0.6667 0.6667  3 Co 2.82, 6 Cd 2.99
Cd3 0.6667 0.3333 0.3333  3 Co 2.82, 6 Cd 2.99
In1 0.0000 0.0000 0.2274  3 Co 2.78, 6 In 2.99
In2 0.3333 0.6667 0.8941  3 Co 2.78, 6 In 2.99
In3 0.6667 0.3333 0.5607  3 Co 2.78, 6 In 2.99
Co1 0.0000 0.0000 0.4783  3 Co 2.36
Co2 0.0000 0.0000 0.7510  3 Co 2.36
Co3 0.3333 0.6667 0.1450  3 Co 2.36
Co4 0.3333 0.6667 0.4176  3 Co 2.36
Co5 0.6667 0.3333 0.0843  3 Co 2.36
Co6 0.6667 0.3333 0.8116  3 Co 2.36


Record 9
Density functional theory data (PBE-GGA) for CdInCo3 after structural relaxation.

Properties
Crystal system = cubic
Theoretical density = 6.4 g cm⁻³
Space-group type = Pm-3m (221)
VASP energy = -18.00 eV for the cell shown
Calculated formation energy = 1.40 eV/atom

abc: 4.7069 4.7069 4.7069
angles: 90.00 90.00 90.00
With the nearest neighbours (Å) after each atom.
Fractional coordinates of all 5 atoms:
Cd1 0.0000 0.0000 0.0000  12 Co 3.33
In1 0.5000 0.5000 0.5000  6 Co 2.35
Co1 0.0000 0.5000 0.5000  2 In 2.35
Co2 0.5000 0.0000 0.5000  2 In 2.35
Co3 0.5000 0.5000 0.0000  2 In 2.35


Record 10
Density functional theory data (PBE-GGA) for Cd2InCo after structural relaxation.

Properties
Crystal system = monoclinic
Theoretical density = 8.4 g cm⁻³
Space-group type = C2/m (12)
VASP energy = -20.78 eV for the cell shown
Calculated formation energy = 0.32 eV/atom

abc: 5.6886 10.4743 3.0454
angles: 90.00 119.95 90.00
With the nearest neighbours (Å) after each atom.
Fractional coordinates of all 8 atoms:
Cd1 0.2500 0.2500 0.0000  6 Cd 2.84-3.05, 2 In 2.98, 2 Co 2.98
Cd2 0.2500 0.7500 0.0000  6 Cd 2.84-3.05, 2 In 2.98, 2 Co 2.98
Cd3 0.7500 0.2500 0.0000  6 Cd 2.84-3.05, 2 In 2.98, 2 Co 2.98
Cd4 0.7500 0.7500 0.0000  6 Cd 2.84-3.05, 2 Co 2.98, 2 In 2.98
In1 0.0000 0.0000 0.0000  4 Co 2.84-2.95, 4 Cd 2.98, 2 In 3.05
In2 0.5000 0.5000 0.0000  4 Co 2.84-2.95, 4 Cd 2.98, 2 In 3.05
Co1 0.0000 0.5000 0.0000  4 In 2.84-2.95, 4 Cd 2.98, 2 Co 3.05
Co2 0.5000 0.0000 0.0000  4 In 2.84-2.95, 4 Cd 2.98, 2 Co 3.05


Record 11
Density functional theory data (PBE-GGA) for Cd2InCo after structural relaxation.

Properties
Crystal system = tetragonal
Theoretical density = 8.3 g cm⁻³
Space-group type = P4/mmm (123)
VASP energy = -10.70 eV for the cell shown
Calculated formation energy = 0.24 eV/atom

abc: 3.0590 3.0590 8.5146
angles: 90.00 90.00 90.00
With the nearest neighbours (Å) after each atom.
Fractional coordinates of all 4 atoms:
Cd1 0.0000 0.0000 0.1963  4 Co 2.73, 4 Cd 3.06
Cd2 0.0000 0.0000 0.8037  4 Co 2.73, 4 Cd 3.06
In1 0.5000 0.5000 0.5000  4 In 3.06, 8 Cd 3.37
Co1 0.5000 0.5000 0.0000  8 Cd 2.73, 4 Co 3.06


Record 12
Density functional theory data (PBE-GGA) for CdIn2Co after structural relaxation.

Properties
Crystal system = orthorhombic
Theoretical density = 8.4 g cm⁻³
Space-group type = Cmmm (65)
VASP energy = -24.35 eV for the cell shown
Calculated formation energy = 0.33 eV/atom

abc: 5.9693 7.6122 3.4855
angles: 90.00 90.00 90.00
With the nearest neighbours (Å) after each atom.
Fractional coordinates of all 8 atoms:
Cd1 0.0000 0.0000 0.0000  8 In 2.98, 2 Co 2.98
Cd2 0.5000 0.5000 0.0000  8 In 2.98, 2 Co 2.98
In1 0.2500 0.2500 0.5000  4 Cd 2.98, 4 Co 2.98, 2 In 2.98
In2 0.2500 0.7500 0.5000  4 Cd 2.98, 4 Co 2.98, 2 In 2.98
In3 0.7500 0.2500 0.5000  4 Cd 2.98, 4 Co 2.98, 2 In 2.98
In4 0.7500 0.7500 0.5000  4 Co 2.98, 4 Cd 2.98, 2 In 2.98
Co1 0.0000 0.5000 0.0000  8 In 2.98, 2 Cd 2.98
Co2 0.5000 0.0000 0.0000  8 In 2.98, 2 Cd 2.98